Entry from Alexandria via LeMat-Bulk: a relaxed Tm6Tc2Ag crystal (PBE).

a = 9.3422 Å, b = 9.4344 Å, c = 10.1266 Å
α = 90.00°, β = 90.00°, γ = 90.00°
Closest atoms and distances in Å follow each position.
Space group Immm (No. 71)
One atom of each set of equivalent atoms:
Tm1 0.0000 0.2037 0.1819  3 Tc 2.80-2.95
Tm2 0.1875 0.2205 0.5000  3 Tc 2.97-3.11, 1 Ag 3.17
Tm3 0.2048 0.5000 0.2646  2 Tc 2.81-3.13, 1 Ag 3.06
Tc1 0.0000 0.0000 0.3824  1 Tc 2.38
Tc2 0.1351 0.0000 0.0000  1 Tc 2.53, 2 Tm 2.81
Ag1 0.0000 0.5000 0.0000  12 Tm 3.29-3.58
Ag2 0.0000 0.5000 0.5000  8 Tm 3.06-3.17, 2 Tc 3.41

## Properties
D(E_F): 9.6 states/eV/f.u.
energy relative to the elements: -0.1443 eV per atom

---

Entry from Alexandria via LeMat-Bulk: a relaxed PrNd2Sm2Ho2 crystal (PBE).

a = 11.4302 Å, b = 5.1283 Å, c = 8.1325 Å
α = 90.00°, β = 98.13°, γ = 90.00°
Closest atoms and distances in Å follow each position.
Space group C2/m (No. 12)
One atom of each set of equivalent atoms:
Pr1 0.0000 0.0000 0.0000  6 Ho 3.61-3.62, 4 Nd 3.62, 2 Sm 3.65
Nd1 0.0719 0.5000 0.7160  4 Ho 3.61-3.62, 5 Sm 3.62-3.64, 2 Pr 3.62, 1 Nd 3.66
Sm1 0.1435 0.0000 0.4299  3 Sm 3.61-3.62, 5 Nd 3.62-3.64, 3 Ho 3.62-3.64, 1 Pr 3.65
Ho1 0.2147 0.5000 0.1427  3 Pr 3.61-3.62, 4 Nd 3.61-3.62, 3 Sm 3.62-3.64, 2 Ho 3.63

## Properties
D(E_F): 9.5 states/eV/f.u.
energy relative to the elements: 0.0158 eV per atom

---

Entry from Alexandria via LeMat-Bulk: a relaxed Zn2S2O7 crystal (PBE).

a = 5.7836 Å, b = 5.8084 Å, c = 9.2433 Å
α = 75.23°, β = 73.14°, γ = 84.81°
Closest atoms and distances in Å follow each position.
Space group P-1 (No. 2)
One atom of each set of equivalent atoms:
Zn1 0.1258 0.2503 0.0143  4 O 2.05-2.07
Zn2 0.2261 0.0989 0.5323  5 O 2.00-2.12
S1 0.0034 0.5245 0.6910  3 O 1.52-1.60
S2 0.4804 0.9610 0.8103  4 O 1.44-1.54
O1 0.0232 0.7961 0.5990  1 S 1.59
O2 0.0751 0.5366 0.8434  1 S 1.60
O3 0.2131 0.9796 0.9015  1 S 1.54
O4 0.2198 0.3973 0.6039  1 S 1.52
O5 0.3973 0.8216 0.2124  1 S 1.44
O6 0.4074 0.2533 0.1074  1 S 1.49
O7 0.4720 0.9155 0.6558  1 S 1.53

## Properties
D(E_F): 0.0 states/eV/f.u.
energy above the most stable polymorph in this dataset: 0.0 meV/atom
formation energy (no corrections): -1.3027 eV per atom

---

Entry from Alexandria via LeMat-Bulk: a relaxed Ba2Mg2Cd15 crystal (PBE).

a = 10.3690 Å, b = 10.3690 Å, c = 15.3552 Å
α = 90.00°, β = 90.00°, γ = 120.00°
Closest atoms and distances in Å follow each position.
Space group R-3m (No. 166, hexagonal axes)
One atom of each set of equivalent atoms:
Ba1 0.0000 0.0000 0.1608  18 Cd 3.67-4.01, 1 Mg 3.67
Mg1 0.0000 0.0000 0.4001  1 Mg 3.07, 12 Cd 3.16-3.38
Cd1 0.0000 0.2909 0.5000  8 Cd 2.99-3.23
Cd2 0.0000 0.5000 0.0000  8 Cd 2.99-3.04, 2 Mg 3.16
Cd3 0.0067 0.5033 0.6493  8 Cd 2.98-3.23, 1 Mg 3.32

## Properties
D(E_F): 8.0 states/eV/f.u.
energy relative to the elements: -0.1979 eV per atom

---

Entry from Alexandria via LeMat-Bulk: a relaxed Tm4Al3In crystal (PBE).

a = 3.6551 Å, b = 4.5211 Å, c = 11.6778 Å
α = 90.00°, β = 90.00°, γ = 90.00°
Closest atoms and distances in Å follow each position.
Space group Pmm2 (No. 25)
One atom of each set of equivalent atoms:
Tm1 0.0000 0.0000 0.0000  6 Al 3.06-3.15, 1 In 3.26
Tm2 0.0000 0.5000 0.3058  7 Al 3.07-3.18
Tm3 0.5000 0.0000 0.4874  5 Al 3.08-3.12, 2 In 3.29
Tm4 0.5000 0.5000 0.8148  4 In 3.11, 3 Al 3.13-3.34
Al1 0.0000 0.5000 0.5751  2 In 2.83, 5 Tm 3.08-3.15
Al2 0.5000 0.0000 0.2200  2 Al 2.77, 4 Tm 3.07
Al3 0.5000 0.5000 0.0829  2 Al 2.77, 4 Tm 3.06
In1 0.0000 0.0000 0.7212  2 Al 2.83, 4 Tm 3.11

## Properties
D(E_F): 7.8 states/eV/f.u.
energy above the most stable polymorph in this dataset: 23.6 meV/atom
energy relative to the elements: -0.3722 eV per atom

---

Entry from Alexandria via LeMat-Bulk: a relaxed BaCuAu3 crystal (PBE).

a = 6.0903 Å, b = 6.0903 Å, c = 6.0903 Å
α = 90.00°, β = 90.00°, γ = 90.00°
Closest atoms and distances in Å follow each position.
Space group Pm-3m (No. 221)
One atom of each set of equivalent atoms:
Ba1 0.0000 0.0000 0.0000  6 Au 3.05
Cu1 0.5000 0.5000 0.5000  12 Au 4.31
Au1 0.0000 0.0000 0.5000  2 Ba 3.05

## Properties
D(E_F): 0.2 states/eV/f.u.
energy above the most stable polymorph in this dataset: 1301.8 meV/atom
energy relative to the elements: 0.9739 eV per atom

---

Entry from Alexandria via LeMat-Bulk: a relaxed SrSb2 crystal (PBE).

a = 5.6780 Å, b = 5.6780 Å, c = 6.7514 Å
α = 90.00°, β = 90.00°, γ = 120.00°
Closest atoms and distances in Å follow each position.
Space group P6_3/mmc (No. 194)
One atom of each set of equivalent atoms:
Sr1 0.3333 0.6667 0.2500  5 Sb 3.28-3.38
Sb1 0.0000 0.0000 0.0000  8 Sb 3.38-3.69, 6 Sr 3.69
Sb2 0.3333 0.6667 0.7500  5 Sr 3.28-3.38

## Properties
D(E_F): 2.6 states/eV/f.u.
formation energy (no corrections): -0.4150 eV per atom

---

Entry from Alexandria via LeMat-Bulk: a relaxed ThMnCl6 crystal (PBE).

a = 6.5312 Å, b = 12.6739 Å, c = 6.5255 Å
α = 90.00°, β = 107.19°, γ = 90.00°
Closest atoms and distances in Å follow each position.
Space group C2/m (No. 12)
One atom of each set of equivalent atoms:
Th1 0.0000 0.0000 0.0000  6 Cl 2.68-2.71
Mn1 0.0000 0.5000 0.5000  6 Cl 2.54-2.58
Cl1 0.2349 0.3602 0.7351  1 Mn 2.54, 1 Th 2.71
Cl2 0.2455 0.5000 0.2550  1 Mn 2.58, 1 Th 2.68

## Properties
D(E_F): 0.0 states/eV/f.u.
energy above the most stable polymorph in this dataset: 0.0 meV/atom
formation energy (no corrections): -1.7234 eV per atom

---

Entry from Alexandria via LeMat-Bulk: a relaxed TlZnBr5 crystal (PBE).

a = 10.4134 Å, b = 10.5877 Å, c = 10.3356 Å
α = 90.00°, β = 118.63°, γ = 90.00°
Closest atoms and distances in Å follow each position.
Space group C2/c (No. 15)
One atom of each set of equivalent atoms:
Tl1 0.2500 0.2500 0.0000  6 Br 2.78-2.86
Zn1 0.0000 0.1152 0.2500  4 Br 2.40-2.51
Br1 0.0000 0.3449 0.7500  2 Tl 2.83
Br2 0.1094 0.2873 0.1673  1 Zn 2.51, 1 Tl 2.78
Br3 0.1848 0.0144 0.4676  1 Zn 2.40

## Properties
formation energy (no corrections): -0.5804 eV per atom

---

Entry from Alexandria via LeMat-Bulk: a relaxed ZnFeHg2 crystal (PBE).

a = 3.0628 Å, b = 3.0628 Å, c = 7.6694 Å
α = 90.00°, β = 90.00°, γ = 90.00°
Closest atoms and distances in Å follow each position.
Space group P4/mmm (No. 123)
One atom of each set of equivalent atoms:
Zn1 0.0000 0.0000 0.0000  8 Hg 2.94, 4 Zn 3.06
Fe1 0.0000 0.0000 0.5000  8 Hg 2.85, 4 Fe 3.06
Hg1 0.5000 0.5000 0.2585  4 Fe 2.85, 4 Zn 2.94, 4 Hg 3.06

## Properties
D(E_F): 1.7 states/eV/f.u.
energy relative to the elements: 0.3473 eV per atom

---

Entry from Alexandria via LeMat-Bulk: a relaxed TiAs3I crystal (PBE).

a = 4.9773 Å, b = 4.9773 Å, c = 4.9773 Å
α = 90.00°, β = 90.00°, γ = 90.00°
Closest atoms and distances in Å follow each position.
Space group Pm-3m (No. 221)
One atom of each set of equivalent atoms:
Ti1 0.0000 0.0000 0.0000  6 As 2.49
As1 0.0000 0.0000 0.5000  2 Ti 2.49
I1 0.5000 0.5000 0.5000  12 As 3.52

## Properties
D(E_F): 2.1 states/eV/f.u.
energy above the most stable polymorph in this dataset: 0.0 meV/atom
formation energy (no corrections): 0.1510 eV per atom

---

Entry from Alexandria via LeMat-Bulk: a relaxed Be2RhW2 crystal (PBE).

a = 5.8838 Å, b = 5.8838 Å, c = 3.5434 Å
α = 90.00°, β = 90.00°, γ = 90.00°
Closest atoms and distances in Å follow each position.
Space group P4/mbm (No. 127)
One atom of each set of equivalent atoms:
Be1 0.1282 0.3718 0.0000  1 Be 2.13, 2 Rh 2.31
Rh1 0.0000 0.0000 0.0000  4 Be 2.31
W1 0.1666 0.6666 0.5000  6 Be 2.46-2.49

## Properties
D(E_F): 3.3 states/eV/f.u.
energy relative to the elements: -0.1418 eV per atom

---

Entry from Alexandria via LeMat-Bulk: a relaxed Pm4DyS7 crystal (PBE).

a = 13.1874 Å, b = 3.9069 Å, c = 11.8244 Å
α = 90.00°, β = 105.01°, γ = 90.00°
Closest atoms and distances in Å follow each position.
Space group Cm (No. 8)
One atom of each set of equivalent atoms:
Pm1 0.0000 0.0000 0.0000  6 S 2.75-2.89
Pm2 0.0873 0.5000 0.3850  7 S 2.82-3.04
Pm3 0.1893 0.0000 0.7676  7 S 2.81-3.04
Pm4 0.3878 0.5000 0.5746  6 S 2.76-2.83
Dy1 0.2764 0.5000 0.1546  6 S 2.69-2.83
S1 0.0481 0.5000 0.6274  5 Pm 2.83-3.04
S2 0.1307 0.5000 0.9322  1 Dy 2.83, 4 Pm 2.85-3.00
S3 0.1538 0.0000 0.2238  2 Dy 2.79, 3 Pm 2.89-3.01
S4 0.2275 0.0000 0.5248  5 Pm 2.83-3.04
S5 0.3470 0.5000 0.7917  4 Pm 2.75-2.81
S6 0.3851 0.0000 0.0795  2 Dy 2.71, 2 Pm 2.78
S7 0.4282 0.5000 0.3568  1 Dy 2.69, 3 Pm 2.76-2.82

## Properties
D(E_F): 1.3 states/eV/f.u.
formation energy (no corrections): -2.0704 eV per atom

---

Entry from Alexandria via LeMat-Bulk: a relaxed RbVTc3 crystal (PBE).

a = 4.7210 Å, b = 4.7210 Å, c = 4.7210 Å
α = 90.00°, β = 90.00°, γ = 90.00°
Closest atoms and distances in Å follow each position.
Space group Pm-3m (No. 221)
One atom of each set of equivalent atoms:
Rb1 0.0000 0.0000 0.0000  12 Tc 3.34
V1 0.5000 0.5000 0.5000  6 Tc 2.36
Tc1 0.0000 0.5000 0.5000  2 V 2.36

## Properties
D(E_F): 4.6 states/eV/f.u.
energy above the most stable polymorph in this dataset: 0.0 meV/atom
energy relative to the elements: 1.5762 eV per atom

---

Entry from Alexandria via LeMat-Bulk: a relaxed SiH6N2F4 crystal (PBE).

a = 5.1018 Å, b = 7.0462 Å, c = 7.1027 Å
α = 90.00°, β = 93.67°, γ = 90.00°
Closest atoms and distances in Å follow each position.
Space group P2_1/c (No. 14)
One atom of each set of equivalent atoms:
Si1 0.0000 0.0000 0.0000  4 F 1.70-1.72
H1 0.1821 0.0703 0.3221  1 N 1.03
H2 0.2156 0.6618 0.7812  1 N 1.03
H3 0.4204 0.5058 0.6920  1 N 1.03
N1 0.2280 0.5286 0.7224  3 H 1.03
F1 0.1108 0.2270 0.9811  1 Si 1.70, 1 H 1.87
F2 0.2454 0.5803 0.3645  1 Si 1.72, 2 H 1.88-1.91

## Properties
D(E_F): 0.0 states/eV/f.u.
energy: -5.378 eV/atom

---

Entry from Alexandria via LeMat-Bulk: a relaxed Zr2ScZn crystal (PBE).

a = 11.0041 Å, b = 3.2284 Å, c = 5.2661 Å
α = 90.00°, β = 115.41°, γ = 90.00°
Closest atoms and distances in Å follow each position.
Space group Cm (No. 8)
One atom of each set of equivalent atoms:
Zr1 0.0000 0.0000 0.0000  2 Zn 2.87, 3 Zr 3.03-3.15, 4 Sc 3.12
Zr2 0.2306 0.0000 0.8296  4 Zn 2.92-3.26, 5 Zr 3.03-3.23, 3 Sc 3.16-3.26
Sc1 0.4528 0.0000 0.4575  2 Zn 2.86, 5 Zr 3.12-3.16
Zn1 0.2230 0.5000 0.3607  2 Sc 2.86, 4 Zr 2.87-2.92

## Properties
D(E_F): 3.6 states/eV/f.u.
energy relative to the elements: -0.1158 eV per atom

---

Entry from Alexandria via LeMat-Bulk: a relaxed Sc2Si3Ni3 crystal (PBE).

a = 3.0166 Å, b = 13.0397 Å, c = 11.8525 Å
α = 90.00°, β = 90.00°, γ = 90.00°
Closest atoms and distances in Å follow each position.
Space group Cmcm (No. 63)
One atom of each set of equivalent atoms:
Sc1 0.0000 0.2489 0.1224  4 Si 2.65-2.82, 2 Ni 2.93
Si1 0.0000 0.4058 0.5412  5 Ni 2.36-2.47, 1 Si 2.64
Si2 0.0000 0.4162 0.2500  5 Ni 2.34-2.40
Ni1 0.0000 0.0339 0.6025  6 Si 2.36-2.41, 1 Ni 2.59
Ni2 0.0000 0.4044 0.7500  3 Si 2.34-2.47

## Properties
D(E_F): 5.3 states/eV/f.u.
energy above the most stable polymorph in this dataset: 144.9 meV/atom
formation energy (no corrections): -0.4850 eV per atom

---

Entry from Alexandria via LeMat-Bulk: a relaxed ScVS3 crystal (PBE).

a = 4.8529 Å, b = 4.8529 Å, c = 4.8529 Å
α = 90.00°, β = 90.00°, γ = 90.00°
Closest atoms and distances in Å follow each position.
Space group Pm-3m (No. 221)
One atom of each set of equivalent atoms:
Sc1 0.0000 0.0000 0.0000  6 S 2.43
V1 0.5000 0.5000 0.5000  12 S 3.43
S1 0.0000 0.0000 0.5000  2 Sc 2.43

## Properties
D(E_F): 3.9 states/eV/f.u.
energy above the most stable polymorph in this dataset: 412.8 meV/atom
formation energy (no corrections): -0.2400 eV per atom

---

Entry from Alexandria via LeMat-Bulk: a relaxed Sm3Fe2C4 crystal (PBE).

a = 11.3725 Å, b = 3.5312 Å, c = 6.6454 Å
α = 90.00°, β = 91.24°, γ = 90.00°
Closest atoms and distances in Å follow each position.
Space group C2/m (No. 12)
One atom of each set of equivalent atoms:
Sm1 0.0000 0.0000 0.0000  6 C 2.73-2.93, 2 Fe 2.98
Sm2 0.1296 0.5000 0.4805  4 C 2.50-2.59, 1 Fe 2.78
Fe1 0.2494 0.5000 0.1211  5 C 1.96-2.03
C1 0.1629 0.5000 0.8633  1 C 1.54
C2 0.2177 0.0000 0.2429  1 C 1.54

## Properties
D(E_F): 4.9 states/eV/f.u.
energy relative to the elements: 0.0066 eV per atom

---

Entry from Alexandria via LeMat-Bulk: a relaxed Y6ErS8 crystal (PBE).

a = 11.0499 Å, b = 11.0499 Å, c = 11.0499 Å
α = 90.00°, β = 90.00°, γ = 90.00°
Closest atoms and distances in Å follow each position.
Space group Fm-3m (No. 225)
One atom of each set of equivalent atoms:
Y1 0.0000 0.2500 0.2500  6 S 2.76
Er1 0.0000 0.0000 0.0000  6 S 2.75
S1 0.0000 0.0000 0.2484  1 Er 2.75, 4 Y 2.76
S2 0.2500 0.2500 0.2500  6 Y 2.76

## Properties
D(E_F): 6.5 states/eV/f.u.
formation energy (no corrections): -2.0550 eV per atom